1.
First-principles (PBE) data for a relaxed PaTcBi crystal, as listed in the Open Quantum Materials Database.

CIF file:
```
data_PaTcBi
_chemical_formula_sum 'Pa4 Tc4 Bi4'
_cell_length_a 6.928
_cell_length_b 6.928
_cell_length_c 6.928
_cell_angle_alpha 90.00
_cell_angle_beta 90.00
_cell_angle_gamma 90.00
_space_group_name_H-M_alt 'F -4 3 m'
_space_group_IT_number 216
_space_group_name_Hall 'F -4 2 3'
loop_
_atom_site_label
_atom_site_fract_x
_atom_site_fract_y
_atom_site_fract_z
_atom_site_occupancy
Pa1 0.000 0.000 0.000 1
Tc1 0.250 0.250 0.250 1
Bi1 0.250 0.250 0.750 1
```

=====

2.
First-principles (PBE) data for a relaxed SbPd9 crystal, as listed in the Open Quantum Materials Database.

CIF file:
```
data_SbPd9
_chemical_formula_sum 'Sb2 Pd18'
_cell_length_a 2.889
_cell_length_b 3.835
_cell_length_c 39.570
_cell_angle_alpha 90.00
_cell_angle_beta 90.00
_cell_angle_gamma 90.00
_space_group_name_H-M_alt 'P m m n'
_space_group_IT_number 59
loop_
_space_group_symop_operation_xyz
'x,y,z'
'-x,-y,-z'
'-x+1/2,-y+1/2,z'
'x+1/2,y+1/2,-z'
'x+1/2,-y,-z'
'-x+1/2,y,z'
'-x,y+1/2,-z'
'x,-y+1/2,z'
loop_
_atom_site_label
_atom_site_fract_x
_atom_site_fract_y
_atom_site_fract_z
_atom_site_occupancy
Sb1 0.250 0.250 0.166 1
Pd1 0.250 0.250 0.236 1
Pd2 0.250 0.250 0.307 1
Pd3 0.250 0.250 0.377 1
Pd4 0.250 0.250 0.447 1
Pd5 0.250 0.250 0.518 1
Pd6 0.250 0.250 0.588 1
Pd7 0.250 0.250 0.658 1
Pd8 0.250 0.250 0.728 1
Pd9 0.250 0.250 0.800 1
```

=====

3.
First-principles (PBE) data for a relaxed PmNbGa crystal, as listed in the Open Quantum Materials Database.

CIF file:
```
data_PmNbGa
_chemical_formula_sum 'Pm4 Nb4 Ga4'
_cell_length_a 6.920
_cell_length_b 6.920
_cell_length_c 6.920
_cell_angle_alpha 90.00
_cell_angle_beta 90.00
_cell_angle_gamma 90.00
_space_group_name_H-M_alt 'F -4 3 m'
_space_group_IT_number 216
_space_group_name_Hall 'F -4 2 3'
loop_
_atom_site_label
_atom_site_fract_x
_atom_site_fract_y
_atom_site_fract_z
_atom_site_occupancy
Pm1 0.000 0.000 0.000 1
Nb1 0.250 0.250 0.250 1
Ga1 0.250 0.250 0.750 1
```

=====

4.
First-principles (PBE) data for a relaxed DySbN2O crystal, as listed in the Open Quantum Materials Database.

CIF file:
```
data_DySbN2O
_chemical_formula_sum 'Dy8 Sb8 N16 O8'
_cell_length_a 8.039
_cell_length_b 7.825
_cell_length_c 11.164
_cell_angle_alpha 90.00
_cell_angle_beta 133.94
_cell_angle_gamma 90.00
_space_group_name_H-M_alt 'P 1 21/c 1'
_space_group_IT_number 14
loop_
_space_group_symop_operation_xyz
'x,y,z'
'-x,-y,-z'
'-x,y+1/2,-z+1/2'
'x,-y+1/2,z+1/2'
loop_
_atom_site_label
_atom_site_fract_x
_atom_site_fract_y
_atom_site_fract_z
_atom_site_occupancy
Dy1 0.058 0.249 0.024 1
Dy2 0.441 0.741 0.964 1
Sb1 0.021 0.005 0.757 1
Sb2 0.497 0.504 0.258 1
N1 0.049 0.745 0.331 1
N2 0.191 0.560 0.188 1
N3 0.296 0.073 0.998 1
N4 0.453 0.250 0.284 1
O1 0.202 0.555 0.700 1
O2 0.313 0.042 0.498 1
```

=====

5.
First-principles (PBE) data for a relaxed HoMgZn crystal, as listed in the Open Quantum Materials Database.

CIF file:
```
data_HoMgZn
_chemical_formula_sum 'Ho4 Mg4 Zn4'
_cell_length_a 6.901
_cell_length_b 6.901
_cell_length_c 6.901
_cell_angle_alpha 90.00
_cell_angle_beta 90.00
_cell_angle_gamma 90.00
_space_group_name_H-M_alt 'F -4 3 m'
_space_group_IT_number 216
_space_group_name_Hall 'F -4 2 3'
loop_
_atom_site_label
_atom_site_fract_x
_atom_site_fract_y
_atom_site_fract_z
_atom_site_occupancy
Ho1 0.000 0.000 0.000 1
Mg1 0.250 0.250 0.750 1
Zn1 0.250 0.250 0.250 1
```

=====

6.
First-principles (PBE) data for a relaxed Lu4CuSiN2 crystal, as listed in the Open Quantum Materials Database.

CIF file:
```
data_Lu4CuSiN2
_chemical_formula_sum 'Lu4 Cu1 Si1 N2'
_cell_length_a 3.3765
_cell_length_b 3.3765
_cell_length_c 13.9092
_cell_angle_alpha 90.00
_cell_angle_beta 90.00
_cell_angle_gamma 120.00
_space_group_name_H-M_alt 'P -6 m 2'
_space_group_IT_number 187
_space_group_name_Hall 'P -6 2'
loop_
_atom_site_label
_atom_site_fract_x
_atom_site_fract_y
_atom_site_fract_z
_atom_site_occupancy
Lu1 0.0000 0.0000 0.1496 1
Lu2 0.6667 0.3333 0.3421 1
Cu1 0.6667 0.3333 0.0000 1
Si1 0.0000 0.0000 0.5000 1
N1 0.3333 0.6667 0.2524 1
```

=====

7.
First-principles (PBE) data for a relaxed DySiPt crystal, as listed in the Open Quantum Materials Database.

CIF file:
```
data_DySiPt
_chemical_formula_sum 'Dy4 Si4 Pt4'
_cell_length_a 6.525
_cell_length_b 6.525
_cell_length_c 6.525
_cell_angle_alpha 90.00
_cell_angle_beta 90.00
_cell_angle_gamma 90.00
_space_group_name_H-M_alt 'F -4 3 m'
_space_group_IT_number 216
_space_group_name_Hall 'F -4 2 3'
loop_
_atom_site_label
_atom_site_fract_x
_atom_site_fract_y
_atom_site_fract_z
_atom_site_occupancy
Dy1 0.000 0.000 0.000 1
Si1 0.250 0.250 0.250 1
Pt1 0.250 0.250 0.750 1
```

=====

8.
First-principles (PBE) data for a relaxed CsHg3Te4W crystal, as listed in the Open Quantum Materials Database.

CIF file:
```
data_CsHg3Te4W
_chemical_formula_sum 'Cs1 Hg3 Te4 W1'
_cell_length_a 7.683
_cell_length_b 7.683
_cell_length_c 7.683
_cell_angle_alpha 90.00
_cell_angle_beta 90.00
_cell_angle_gamma 90.00
_space_group_name_H-M_alt 'P -4 3 m'
_space_group_IT_number 215
_space_group_name_Hall 'P -4 2 3'
loop_
_atom_site_label
_atom_site_fract_x
_atom_site_fract_y
_atom_site_fract_z
_atom_site_occupancy
Cs1 0.000 0.000 0.000 1
Hg1 0.000 0.500 0.500 1
Te1 0.308 0.308 0.308 1
W1 0.500 0.500 0.500 1
```

=====

The following calculated total energy values (in eV/atom) correspond, in order, to the records above: -7.103, -5.124, -4.996, -7.049, -2.034, -6.486, -5.528, -3.061.
The following calculated volume values (in Å³ per atom) correspond, in order, to the records above: 27.7, 21.9, 27.6, 12.6, 27.4, 17.2, 23.1, 50.4.